# 1
A relaxed structure of DyCdCu, computed with PBE-GGA.

Geometry as extended XYZ:
```
9
Lattice="7.570 0.000 0.000 -3.785 6.556 0.000 0.000 0.000 3.818" Properties=species:S:1:pos:R:3 pbc="T T T"
Dy -1.549 2.682 0.000
Dy 3.097 0.000 0.000
Dy 2.236 3.873 0.000
Cd -2.820 4.885 1.909
Cd 0.965 1.671 1.909
Cd 5.640 0.000 1.909
Cu 0.000 0.000 0.000
Cu 0.000 4.370 1.909
Cu 3.785 2.185 1.909
```

Results
SG: P-62m

# 2
A relaxed structure of DyCdCu, computed with PBE-GGA.

Geometry as extended XYZ:
```
18
Lattice="13.104 0.000 0.000 0.000 3.841 0.000 0.000 0.000 7.565" Properties=species:S:1:pos:R:3 pbc="T T T"
Dy 0.592 0.000 1.753
Dy 3.276 0.000 6.416
Dy 5.960 0.000 1.753
Dy 7.144 0.000 5.812
Dy 9.828 0.000 1.149
Dy 12.511 0.000 5.812
Cd 1.536 1.921 4.306
Cd 3.276 1.921 1.476
Cd 5.016 1.921 4.306
Cd 8.088 1.921 3.259
Cd 9.828 1.921 6.089
Cd 11.567 1.921 3.259
Cu 1.193 1.921 7.153
Cu 3.276 0.000 3.397
Cu 5.359 1.921 7.153
Cu 7.745 1.921 0.412
Cu 9.828 0.000 4.168
Cu 11.911 1.921 0.412
```

Results
SG: Pmma

# 3
A relaxed structure of Dy5Cd4Cu, computed with PBE-GGA.

Geometry as extended XYZ:
```
10
Lattice="3.641 0.000 0.000 0.000 3.641 0.000 0.000 0.000 18.992" Properties=species:S:1:pos:R:3 pbc="T T T"
Dy 0.000 0.000 0.000
Dy 0.000 0.000 3.908
Dy 0.000 0.000 7.844
Dy 0.000 0.000 11.148
Dy 0.000 0.000 15.084
Cd 1.820 1.820 1.946
Cd 1.820 1.820 5.844
Cd 1.820 1.820 13.148
Cd 1.820 1.820 17.046
Cu 1.820 1.820 9.496
```

Results
SG: P4/mmm

# 4
A relaxed structure of Dy2CdCu, computed with PBE-GGA.

Geometry as extended XYZ:
```
4
Lattice="3.515 0.000 0.000 0.000 3.515 0.000 0.000 0.000 7.623" Properties=species:S:1:pos:R:3 pbc="T T T"
Dy 0.000 0.000 1.690
Dy 0.000 0.000 5.933
Cd 1.757 1.757 3.811
Cu 1.757 1.757 0.000
```

Results
SG: P4/mmm

# 5
A relaxed structure of Dy2CdCu, computed with PBE-GGA.

Geometry as extended XYZ:
```
4
Lattice="0.000 3.618 3.618 3.618 0.000 3.618 3.618 3.618 0.000" Properties=species:S:1:pos:R:3 pbc="T T T"
Dy 1.809 1.809 1.809
Dy 5.427 5.427 5.427
Cd 0.000 0.000 0.000
Cu 3.618 3.618 3.618
```

Results
SG: Fm-3m

# 6
A relaxed structure of Dy4CdCu, computed with PBE-GGA.

Geometry as extended XYZ:
```
6
Lattice="3.523 0.000 0.000 0.000 3.523 0.000 0.000 0.000 12.770" Properties=species:S:1:pos:R:3 pbc="T T T"
Dy 0.000 0.000 1.707
Dy 0.000 0.000 11.063
Dy 1.762 1.762 4.268
Dy 1.762 1.762 8.501
Cd 0.000 0.000 6.385
Cu 1.762 1.762 0.000
```

Results
SG: P4/mmm

# 7
A relaxed structure of Dy3Cd2Cu, computed with PBE-GGA.

Geometry as extended XYZ:
```
6
Lattice="3.579 0.000 0.000 0.000 3.579 0.000 0.000 0.000 11.435" Properties=species:S:1:pos:R:3 pbc="T T T"
Dy 0.000 0.000 0.000
Dy 0.000 0.000 4.060
Dy 0.000 0.000 7.376
Cd 1.790 1.790 2.003
Cd 1.790 1.790 9.432
Cu 1.790 1.790 5.718
```

Results
SG: P4/mmm

# 8
A relaxed structure of DyCdCu10, computed with PBE-GGA.

Geometry as extended XYZ:
```
12
Lattice="4.086 0.000 0.000 0.000 4.979 0.000 0.000 0.000 8.625" Properties=species:S:1:pos:R:3 pbc="T T T"
Dy 0.000 0.000 0.000
Cd 0.000 2.489 4.313
Cu 0.000 0.000 2.949
Cu 0.000 0.000 5.676
Cu 0.000 2.489 1.530
Cu 0.000 2.489 7.095
Cu 2.043 0.000 4.313
Cu 2.043 1.229 2.143
Cu 2.043 1.229 6.483
Cu 2.043 2.489 0.000
Cu 2.043 3.750 2.143
Cu 2.043 3.750 6.483
```

Results
SG: Pmmm

Respective formation enthalpy at 0 K values: -86.2; -87.2; -282.4; -106.1; -88.7; -89.3; -164.9; -76.3 kJ/mol of formula units.